No. 1
This record from OQMD describes a relaxed Pr2Ho2CBr4F crystal. The functional is PBE.

calculated total energy: -5.272 eV per atom
theoretical density: 6.32 Mg/m³

a = 17.9326 Å, b = 3.7738 Å, c = 7.6064 Å
α = 90.00°, β = 100.92°, γ = 90.00°
Space group C2/m (No. 12)
Asymmetric unit:
1 Pr 0.0040 0.0000 0.2640 x4
2 Ho 0.1359 0.5000 0.5735 x4
3 C 0.0000 0.5000 0.5000 x2
4 Br 0.1650 0.0000 0.8553 x4
5 Br 0.1774 0.0000 0.3260 x4
6 F 0.0000 0.5000 0.0000 x2

=====

No. 2
This record from OQMD describes a relaxed NdSb2O4 crystal. The functional is PBE.

calculated total energy: -6.201 eV per atom
theoretical density: 6.19 Mg/m³

a = 9.8962 Å, b = 9.8962 Å, c = 9.8962 Å
α = 90.00°, β = 90.00°, γ = 90.00°
Space group Fd-3m (No. 227, origin choice 2)
Asymmetric unit:
1 Nd 0.1250 0.1250 0.1250 x8
2 Sb 0.0000 0.0000 0.5000 x16
3 O 0.0089 0.0089 0.7411 x32

=====

No. 3
This record from OQMD describes a relaxed Nb2Sn3W4N3 crystal. The functional is PBE.

calculated total energy: -9.021 eV per atom
theoretical density: 11.95 Mg/m³

a = 9.8237 Å, b = 5.6733 Å, c = 13.5613 Å
α = 90.00°, β = 104.05°, γ = 90.00°
Space group C2/c (No. 15)
Asymmetric unit:
1 Nb 0.0569 0.0855 0.4154 x8
2 Sn 0.0000 0.4311 0.2500 x4
3 Sn 0.1730 0.0885 0.7499 x8
4 W 0.1098 0.4202 0.5772 x8
5 W 0.2228 0.4142 0.9224 x8
6 N 0.0839 0.2526 0.9994 x8
7 N 0.2500 0.2500 0.5000 x4

=====

No. 4
This record from OQMD describes a relaxed InPd2W2 crystal. The functional is PBE.

calculated total energy: -7.317 eV per atom
theoretical density: 13.28 Mg/m³

a = 7.8960 Å, b = 7.8960 Å, c = 2.7894 Å
α = 90.00°, β = 90.00°, γ = 90.00°
Space group P4/mbm (No. 127)
Asymmetric unit:
1 In 0.0000 0.0000 0.0000 x2
2 Pd 0.1374 0.3626 0.0000 x4
3 W 0.1559 0.6559 0.5000 x4

=====

No. 5
This record from OQMD describes a relaxed PIr2 crystal. The functional is PBE.

calculated total energy: -6.757 eV per atom
theoretical density: 13.98 Mg/m³

a = 7.3358 Å, b = 7.3358 Å, c = 7.3358 Å
α = 90.00°, β = 90.00°, γ = 90.00°
Space group Fd-3m (No. 227, origin choice 2)
Asymmetric unit:
1 P 0.1250 0.1250 0.1250 x8
2 Ir 0.0000 0.0000 0.5000 x16

=====

No. 6
This record from OQMD describes a relaxed NdHoMg crystal. The functional is PBE.

calculated total energy: -3.231 eV per atom
theoretical density: 5.32 Mg/m³
relative energy among the computed polymorphs: 0 meV/atom

a = 7.4649 Å, b = 7.4649 Å, c = 7.4649 Å
α = 90.00°, β = 90.00°, γ = 90.00°
Space group F-43m (No. 216)
Asymmetric unit:
1 Nd 0.0000 0.0000 0.0000 x4
2 Ho 0.0000 0.0000 0.5000 x4
3 Mg 0.2500 0.2500 0.7500 x4

=====

No. 7
This record from OQMD describes a relaxed ZnGaW crystal. The functional is PBE.

calculated total energy: -4.865 eV per atom
theoretical density: 9.47 Mg/m³

a = 6.0702 Å, b = 6.0702 Å, c = 6.0702 Å
α = 90.00°, β = 90.00°, γ = 90.00°
Space group F-43m (No. 216)
Asymmetric unit:
1 Zn 0.0000 0.0000 0.0000 x4
2 Ga 0.0000 0.0000 0.5000 x4
3 W 0.2500 0.2500 0.7500 x4

=====

No. 8
This record from OQMD describes a relaxed Li2MgScAl2Ag2 crystal. The functional is PBE.

calculated total energy: -3.369 eV per atom
theoretical density: 4.33 Mg/m³

a = 4.5845 Å, b = 4.5845 Å, c = 6.4416 Å
α = 90.00°, β = 90.00°, γ = 90.00°
Space group P-4m2 (No. 115)
Asymmetric unit:
1 Li 0.0000 0.5000 0.2413 x2
2 Mg 0.5000 0.5000 0.0000 x1
3 Sc 0.0000 0.0000 0.5000 x1
4 Al 0.0000 0.0000 0.0000 x1
5 Al 0.5000 0.5000 0.5000 x1
6 Ag 0.0000 0.5000 0.7524 x2

=====

No. 9
This record from OQMD describes a relaxed SiNiMoAu crystal. The functional is PBE.

calculated total energy: -6.155 eV per atom
theoretical density: 10.92 Mg/m³

a = 6.1344 Å, b = 6.1344 Å, c = 6.1344 Å
α = 90.00°, β = 90.00°, γ = 90.00°
Space group F-43m (No. 216)
Asymmetric unit:
1 Si 0.0000 0.0000 0.0000 x4
2 Ni 0.2500 0.2500 0.2500 x4
3 Mo 0.2500 0.2500 0.7500 x4
4 Au 0.0000 0.0000 0.5000 x4

=====

No. 10
This record from OQMD describes a relaxed MgCoMoPb crystal. The functional is PBE.

calculated total energy: -5.190 eV per atom
theoretical density: 9.48 Mg/m³
relative energy among the computed polymorphs: 0 meV/atom

a = 6.4701 Å, b = 6.4701 Å, c = 6.4701 Å
α = 90.00°, β = 90.00°, γ = 90.00°
Space group F-43m (No. 216)
Asymmetric unit:
1 Mg 0.0000 0.0000 0.0000 x4
2 Co 0.0000 0.0000 0.5000 x4
3 Mo 0.2500 0.2500 0.7500 x4
4 Pb 0.2500 0.2500 0.2500 x4

=====

No. 11
This record from OQMD describes a relaxed CdNi crystal. The functional is PBE.

calculated total energy: -3.264 eV per atom
theoretical density: 9.21 Mg/m³
E_form: -33 meV/atom

a = 11.3962 Å, b = 11.3962 Å, c = 11.3962 Å
α = 90.00°, β = 90.00°, γ = 90.00°
Space group Fd-3m (No. 227, origin choice 2)
Asymmetric unit:
1 Cd 0.0736 0.3750 0.3750 x48
2 Ni 0.0000 0.0000 0.5000 x16
3 Ni 0.0461 0.0461 0.7039 x32

=====

No. 12
This record from OQMD describes a relaxed RbTbSeO crystal. The functional is PBE.

calculated total energy: -5.649 eV per atom
theoretical density: 4.29 Mg/m³
relative energy among the computed polymorphs: 83 meV/atom

a = 4.5879 Å, b = 8.4791 Å, c = 6.7589 Å
α = 90.00°, β = 90.00°, γ = 90.00°
Space group Pmc2_1 (No. 26)
Asymmetric unit:
1 Rb 0.0000 0.1991 0.0000 x2
2 Tb 0.5000 0.3822 0.4275 x2
3 Se 0.0000 0.2067 0.5070 x2
4 O 0.5000 0.4193 0.1166 x2

=====

Question: Which of these has the lowest theoretical density?
Answer: RbTbSeO

=====

Question: Which formula does entry 10 have?
Answer: MgCoMoPb